A relaxed MgFeSb2 crystal. Source: the Alexandria database, functional PBE.

## Properties
* distance to the lowest polymorph of the same formula: 268 meV/atom
* VASP energy: -68.273 eV/cell
* DOS(E_F): 16.27 states/eV/cell
* total magnetization: 0.0 μB per formula unit
* E_form (uncorrected): 0.31 eV per atom
* ρ: 4.7 g/cm³

Unit cell a=6.1763 b=6.1763 c=11.9764 alpha=90.00 beta=90.00 gamma=90.00
Space group I-42d (No. 122)
Symmetry-distinct sites (fractional):
Mg1 0.0000 0.0000 0.0000 (multiplicity 4)
Fe1 0.0000 0.0000 0.5000 (multiplicity 4)
Sb1 0.1846 0.2500 0.6250 (multiplicity 8)